Material: Ag3SeCl2
Method: DFT, PBE
State: optimized geometry

```
Ag3SeCl2
1.0
-1.4209 -5.2168 1.1588
7.1032 -2.6287 -3.1243
-0.6482 1.8835 7.6842
Cl Ag Se
4 6 2
Direct
0.9928 0.1896 0.6677 Cl
0.9928 0.5219 0.3323 Cl
0.4928 0.4781 0.6677 Cl
0.4928 0.8104 0.3323 Cl
0.9928 0.5250 0.6746 Ag
0.4934 0.8275 0.0000 Ag
0.9934 0.1725 0.0000 Ag
0.4928 0.4750 0.3254 Ag
0.9928 0.8503 0.3254 Ag
0.4928 0.1497 0.6746 Ag
0.4934 0.1416 0.0000 Se
0.9934 0.8584 0.0000 Se
```

Magnetization (μB/f.u.): 0.000
Formation energy without anion corrections (eV per atom): -0.25
Energy above the lowest structure with this stoichiometry (eV per atom): 0.005
Density of states at the Fermi level (states/eV/cell): 6.03